A plane-wave DFT calculation with meta-GGA SCAN was carried out for CaVSi4H8O15 at its PBEsol-relaxed geometry.

Lattice parameters (Å, degrees): 9.2501 13.8836 9.9014 90.00 90.00 90.00
Closest atoms and distances in Å follow each position.
Element x y z (fractional)
Ca: 0.0972 0.2500 0.0934  7 O 2.32-2.43
Ca: 0.4028 0.7500 0.5934  7 O 2.32-2.43
Ca: 0.5972 0.2500 0.4066  7 O 2.32-2.43
Ca: 0.9028 0.7500 0.9066  7 O 2.32-2.43
V: 0.0368 0.7500 0.5958  1 O 1.61
V: 0.4632 0.2500 0.0958  1 O 1.61
V: 0.5368 0.7500 0.9042  1 O 1.61
V: 0.9632 0.2500 0.4042  1 O 1.61
Si: 0.0992 0.0421 0.3146  4 O 1.62-1.65
Si: 0.0992 0.4579 0.3146  4 O 1.62-1.65
Si: 0.2000 0.5369 0.5810  4 O 1.61-1.65
Si: 0.2000 0.9631 0.5810  4 O 1.61-1.65
Si: 0.3000 0.0369 0.0810  4 O 1.61-1.65
Si: 0.3000 0.4631 0.0810  4 O 1.61-1.65
Si: 0.4008 0.5421 0.8146  4 O 1.62-1.65
Si: 0.4008 0.9579 0.8146  4 O 1.62-1.65
Si: 0.5992 0.0421 0.1854  4 O 1.62-1.65
Si: 0.5992 0.4579 0.1854  4 O 1.62-1.65
Si: 0.7000 0.5369 0.9190  4 O 1.61-1.65
Si: 0.7000 0.9631 0.9190  4 O 1.61-1.65
Si: 0.8000 0.0369 0.4190  4 O 1.61-1.65
Si: 0.8000 0.4631 0.4190  4 O 1.61-1.65
Si: 0.9008 0.5421 0.6854  4 O 1.62-1.65
Si: 0.9008 0.9579 0.6854  4 O 1.62-1.65
H: 0.0367 0.5869 0.0990  1 O 0.99
H: 0.0367 0.9131 0.0990  1 O 0.99
H: 0.0923 0.1572 0.8534  1 O 1.00
H: 0.0923 0.3428 0.8534  1 O 1.00
H: 0.1400 0.2500 0.6761  1 O 1.02
H: 0.2068 0.7500 0.2538  1 O 0.98
H: 0.2203 0.6956 0.8361  1 O 0.99
H: 0.2203 0.8044 0.8361  1 O 0.99
H: 0.2797 0.1956 0.3361  1 O 0.99
H: 0.2797 0.3044 0.3361  1 O 0.99
H: 0.2932 0.2500 0.7538  1 O 0.98
H: 0.3600 0.7500 0.1761  1 O 1.02
H: 0.4077 0.6572 0.3534  1 O 1.00
H: 0.4077 0.8428 0.3534  1 O 1.00
H: 0.4633 0.0869 0.5990  1 O 0.99
H: 0.4633 0.4131 0.5990  1 O 0.99
H: 0.5367 0.5869 0.4010  1 O 0.99
H: 0.5367 0.9131 0.4010  1 O 0.99
H: 0.5923 0.1572 0.6466  1 O 1.00
H: 0.5923 0.3428 0.6466  1 O 1.00
H: 0.6400 0.2500 0.8239  1 O 1.02
H: 0.7068 0.7500 0.2462  1 O 0.98
H: 0.7203 0.6956 0.6639  1 O 0.99
H: 0.7203 0.8044 0.6639  1 O 0.99
H: 0.7797 0.1956 0.1639  1 O 0.99
H: 0.7797 0.3044 0.1639  1 O 0.99
H: 0.7932 0.2500 0.7462  1 O 0.98
H: 0.8600 0.7500 0.3239  1 O 1.02
H: 0.9077 0.6572 0.1466  1 O 1.00
H: 0.9077 0.8428 0.1466  1 O 1.00
H: 0.9633 0.0869 0.9010  1 O 0.99
H: 0.9633 0.4131 0.9010  1 O 0.99
O: 0.0312 0.1373 0.9314  2 H 0.99-1.00
O: 0.0312 0.3627 0.9314  2 H 0.99-1.00
O: 0.0367 0.2500 0.5521  1 H 1.56, 1 V 1.61
O: 0.0559 0.0090 0.6545  2 Si 1.63-1.65
O: 0.0559 0.4910 0.6545  2 Si 1.63-1.65
O: 0.0857 0.1578 0.3019  1 Si 1.62
O: 0.0857 0.3422 0.3019  1 Si 1.62
O: 0.1505 0.7500 0.8337  2 H 0.99
O: 0.1592 0.5006 0.1695  2 Si 1.65, 1 H 1.79
O: 0.1592 0.9994 0.1695  2 Si 1.65, 1 H 1.79
O: 0.1888 0.2500 0.7680  2 H 0.98-1.02
O: 0.1918 0.6531 0.5800  1 Si 1.61
O: 0.1918 0.8469 0.5800  1 Si 1.61
O: 0.2153 0.0128 0.4323  2 Si 1.63-1.64
O: 0.2153 0.4872 0.4323  2 Si 1.63-1.64
O: 0.2847 0.5128 0.9323  2 Si 1.63-1.64
O: 0.2847 0.9872 0.9323  2 Si 1.63-1.64
O: 0.3082 0.1531 0.0800  1 Si 1.61
O: 0.3082 0.3469 0.0800  1 Si 1.61
O: 0.3112 0.7500 0.2680  2 H 0.98-1.02
O: 0.3408 0.0006 0.6695  2 Si 1.65, 1 H 1.79
O: 0.3408 0.4994 0.6695  2 Si 1.65, 1 H 1.79
O: 0.3495 0.2500 0.3337  2 H 0.99
O: 0.4143 0.6578 0.8019  1 Si 1.62
O: 0.4143 0.8422 0.8019  1 Si 1.62
O: 0.4441 0.5090 0.1545  2 Si 1.63-1.65
O: 0.4441 0.9910 0.1545  2 Si 1.63-1.65
O: 0.4633 0.7500 0.0521  1 H 1.56, 1 V 1.61
O: 0.4688 0.6373 0.4314  2 H 0.99-1.00
O: 0.4688 0.8627 0.4314  2 H 0.99-1.00
O: 0.5312 0.1373 0.5686  2 H 0.99-1.00
O: 0.5312 0.3627 0.5686  2 H 0.99-1.00
O: 0.5367 0.2500 0.9479  1 H 1.56, 1 V 1.61
O: 0.5559 0.0090 0.8455  2 Si 1.63-1.65
O: 0.5559 0.4910 0.8455  2 Si 1.63-1.65
O: 0.5857 0.1578 0.1981  1 Si 1.62
O: 0.5857 0.3422 0.1981  1 Si 1.62
O: 0.6505 0.7500 0.6663  2 H 0.99
O: 0.6592 0.5006 0.3305  2 Si 1.65, 1 H 1.79
O: 0.6592 0.9994 0.3305  2 Si 1.65, 1 H 1.79
O: 0.6888 0.2500 0.7320  2 H 0.98-1.02
O: 0.6918 0.6531 0.9200  1 Si 1.61
O: 0.6918 0.8469 0.9200  1 Si 1.61
O: 0.7153 0.0128 0.0677  2 Si 1.63-1.64
O: 0.7153 0.4872 0.0677  2 Si 1.63-1.64
O: 0.7847 0.5128 0.5677  2 Si 1.63-1.64
O: 0.7847 0.9872 0.5677  2 Si 1.63-1.64
O: 0.8082 0.1531 0.4200  1 Si 1.61
O: 0.8082 0.3469 0.4200  1 Si 1.61
O: 0.8112 0.7500 0.2320  2 H 0.98-1.02
O: 0.8408 0.0006 0.8305  2 Si 1.65, 1 H 1.79
O: 0.8408 0.4994 0.8305  2 Si 1.65, 1 H 1.79
O: 0.8495 0.2500 0.1663  2 H 0.99
O: 0.9143 0.6578 0.6981  1 Si 1.62
O: 0.9143 0.8422 0.6981  1 Si 1.62
O: 0.9441 0.5090 0.3455  2 Si 1.63-1.65
O: 0.9441 0.9910 0.3455  2 Si 1.63-1.65
O: 0.9633 0.7500 0.4479  1 H 1.56, 1 V 1.61
O: 0.9688 0.6373 0.0686  2 H 0.99-1.00
O: 0.9688 0.8627 0.0686  2 H 0.99-1.00

- Uncorrected energy: -1010.0 eV per cell
- N(E_F): 0.000 states/eV/cell
- Volume: 318 Å³/f.u.

---

A plane-wave DFT calculation with meta-GGA SCAN was carried out for KAl2Ir at its PBEsol-relaxed geometry.

Lattice parameters (Å, degrees): 2.9144 3.8390 7.8078 90.00 90.00 90.00
Closest atoms and distances in Å follow each position.
Element x y z (fractional)
K: 0.0000 0.0000 0.0000  2 K 2.91
Al: 0.0000 0.0000 0.5801  4 Ir 2.48
Al: 0.5000 0.5000 0.3437  1 Ir 2.45
Ir: 0.5000 0.5000 0.6570  5 Al 2.45-2.48

- E_form: -0.217 eV/atom
- Uncorrected energy: -95.8 eV per cell
- N(E_F): 1.721 states/eV/cell
- Volume: 87 Å³/f.u.

---

A plane-wave DFT calculation with meta-GGA SCAN was carried out for ThTaN3 at its PBEsol-relaxed geometry.

Lattice parameters (Å, degrees): 5.7134 7.9975 5.6493 90.00 90.00 90.00
Closest atoms and distances in Å follow each position.
Element x y z (fractional)
Th: 0.0436 0.2500 0.0055  4 N 2.38-2.52
Th: 0.4564 0.7500 0.5055  4 N 2.38-2.52
Th: 0.5436 0.2500 0.4945  4 N 2.38-2.52
Th: 0.9564 0.7500 0.9945  4 N 2.38-2.52
Ta: 0.0000 0.0000 0.5000  6 N 2.07-2.09
Ta: 0.0000 0.5000 0.5000  6 N 2.07-2.09
Ta: 0.5000 0.0000 0.0000  6 N 2.07-2.09
Ta: 0.5000 0.5000 0.0000  6 N 2.07-2.09
N: 0.0254 0.7500 0.4091  2 Ta 2.07
N: 0.2004 0.5475 0.7978  2 Ta 2.07-2.09
N: 0.2004 0.9525 0.7978  2 Ta 2.07-2.09
N: 0.2996 0.0475 0.2978  2 Ta 2.07-2.09
N: 0.2996 0.4525 0.2978  2 Ta 2.07-2.09
N: 0.4746 0.2500 0.9091  2 Ta 2.07
N: 0.5254 0.7500 0.0909  2 Ta 2.07
N: 0.7004 0.5475 0.7022  2 Ta 2.07-2.09
N: 0.7004 0.9525 0.7022  2 Ta 2.07-2.09
N: 0.7996 0.0475 0.2022  2 Ta 2.07-2.09
N: 0.7996 0.4525 0.2022  2 Ta 2.07-2.09
N: 0.9746 0.2500 0.5909  2 Ta 2.07

- Uncorrected energy: -795.1 eV per cell
- Formation energy without anion corrections: -1.68 eV per atom
- Volume: 65 Å³/f.u.

---

A plane-wave DFT calculation with meta-GGA SCAN was carried out for CsCdPt3 at its PBEsol-relaxed geometry.

Lattice parameters (Å, degrees): 5.0401 5.0401 5.0401 90.00 90.00 90.00
Closest atoms and distances in Å follow each position.
Element x y z (fractional)
Cs: 0.0000 0.0000 0.0000  12 Pt 3.56
Cd: 0.5000 0.5000 0.5000  6 Pt 2.52
Pt: 0.0000 0.5000 0.5000  2 Cd 2.52
Pt: 0.5000 0.0000 0.5000  2 Cd 2.52
Pt: 0.5000 0.5000 0.0000  2 Cd 2.52

- E_form: 0.926 eV/atom
- Uncorrected energy: -274.2 eV per cell
- N(E_F): 3.657 states/eV/cell
- Volume: 128 Å³/f.u.

---

A plane-wave DFT calculation with meta-GGA SCAN was carried out for FeSiAs4 at its PBEsol-relaxed geometry.

Lattice parameters (Å, degrees): 5.3865 5.3865 5.3865 60.00 60.00 60.00
Closest atoms and distances in Å follow each position.
Element x y z (fractional)
Fe: 0.0000 0.0000 0.0000  12 As 3.16, 4 Si 3.30
Si: 0.2500 0.2500 0.2500  12 As 3.16, 4 Fe 3.30
As: 0.1253 0.6249 0.6249  6 As 2.69-2.70
As: 0.6249 0.1253 0.6249  6 As 2.69-2.70
As: 0.6249 0.6249 0.1253  6 As 2.69-2.70
As: 0.6249 0.6249 0.6249  6 As 2.69-2.70

- Uncorrected energy: -103.8 eV per cell
- N(E_F): 3.440 states/eV/cell
- Formation energy without anion corrections: 0.85 eV per atom
- Volume: 111 Å³/f.u.

---

A plane-wave DFT calculation with meta-GGA SCAN was carried out for NaPrSe2O8 at its PBEsol-relaxed geometry.

Lattice parameters (Å, degrees): 6.5870 7.1562 7.3667 80.92 83.00 89.65
Closest atoms and distances in Å follow each position.
Element x y z (fractional)
Na: 0.0713 0.1902 0.2175  5 O 2.40-2.55
Na: 0.9287 0.8098 0.7825  5 O 2.40-2.55
Pr: 0.3573 0.6940 0.3016  8 O 2.39-2.58
Pr: 0.6427 0.3060 0.6984  8 O 2.39-2.58
Se: 0.1343 0.3149 0.7141  4 O 1.66-1.68
Se: 0.4291 0.7851 0.7886  4 O 1.65-1.66
Se: 0.5709 0.2149 0.2114  4 O 1.65-1.66
Se: 0.8657 0.6851 0.2859  4 O 1.66-1.68
O: 0.0092 0.8533 0.3424  1 Se 1.67
O: 0.0360 0.5157 0.2599  1 Se 1.66
O: 0.2631 0.2410 0.8909  1 Se 1.66
O: 0.2723 0.7978 0.9812  1 Se 1.66
O: 0.2841 0.7861 0.6187  1 Se 1.66
O: 0.3246 0.3894 0.5442  1 Se 1.68
O: 0.4050 0.0344 0.2603  1 Se 1.66
O: 0.4327 0.4081 0.1795  1 Se 1.65
O: 0.5673 0.5919 0.8205  1 Se 1.65
O: 0.5950 0.9656 0.7397  1 Se 1.66
O: 0.6754 0.6106 0.4558  1 Se 1.68
O: 0.7159 0.2139 0.3813  1 Se 1.66
O: 0.7277 0.2022 0.0188  1 Se 1.66
O: 0.7369 0.7590 0.1091  1 Se 1.66
O: 0.9640 0.4843 0.7401  1 Se 1.66
O: 0.9908 0.1467 0.6576  1 Se 1.67

- Uncorrected energy: -315.8 eV per cell
- N(E_F): 0.000 states/eV/cell
- Formation energy without anion corrections: -1.70 eV per atom
- Volume: 170 Å³/f.u.